Entry from the Alexandria database: a geometry-optimized Mg17Al11Pb structure (GGA-PBEsol).

a b c (Å): 9.120 9.120 9.125
angles (deg): 109.41 109.41 109.26
Fractional coordinates of all 29 atoms:
Mg (0.000, 0.000, 0.000)
Mg (0.002, 0.002, 0.662)
Mg (0.002, 0.324, 0.253)
Mg (0.003, 0.356, 0.665)
Mg (0.006, 0.608, 0.977)
Mg (0.291, 0.692, 0.343)
Mg (0.322, 0.618, 0.662)
Mg (0.324, 0.002, 0.253)
Mg (0.356, 0.003, 0.665)
Mg (0.401, 0.718, 0.056)
Mg (0.417, 0.417, 0.374)
Mg (0.608, 0.006, 0.977)
Mg (0.618, 0.322, 0.662)
Mg (0.665, 0.665, 0.312)
Mg (0.687, 0.687, 0.941)
Mg (0.692, 0.291, 0.343)
Mg (0.718, 0.401, 0.056)
Al (0.005, 0.639, 0.474)
Al (0.182, 0.370, 0.027)
Al (0.187, 0.822, 0.844)
Al (0.370, 0.182, 0.027)
Al (0.386, 0.386, 0.868)
Al (0.637, 0.819, 0.658)
Al (0.639, 0.005, 0.474)
Al (0.809, 0.998, 0.285)
Al (0.819, 0.637, 0.658)
Al (0.822, 0.187, 0.844)
Al (0.998, 0.809, 0.285)
Pb (0.204, 0.204, 0.485)

Output
* total moment: 0.00 μB/cell
* ΔH_f (0 K): -0.006 eV per atom
* DOS at the Fermi energy: 0.3556 states/eV/atom